1.
This record from Alexandria describes a relaxed ZrS2I crystal. The functional is GGA-PBEsol.

As for the crystal system: trigonal. The calculation puts the formation energy without anion corrections at 0.2936 eV per atom.

It has space group R-3m (No. 166, hexagonal axes), with a = 3.4518 Å, b = 3.4518 Å, c = 27.4445 Å, α = 90.00°, β = 90.00° and γ = 120.00°. The inequivalent atoms are Zr at (0.0000, 0.0000, 0.0000), S at (0.0000, 0.0000, 0.0862) and I at (0.0000, 0.0000, 0.5000).



2.
This record from Alexandria describes a relaxed Ba2CdP crystal. The functional is GGA-PBEsol.

As for the formation energy: -0.3381 eV per atom. Its polymorph energy (0 for the lowest one) is 0 meV/atom. As for the crystal system: tetragonal.

It has space group P4mm (No. 99), with a = 4.754 Å, b = 4.754 Å, c = 6.626 Å, α = 90.00°, β = 90.00° and γ = 90.00°. The inequivalent atoms are Ba at (0.000, 0.000, 0.000), Ba at (0.500, 0.500, 0.485), Cd at (0.000, 0.000, 0.505) and P at (0.500, 0.500, 0.980).



3.
This record from Alexandria describes a relaxed K2LaBr crystal. The functional is GGA-PBEsol.

Its polymorph energy (0 for the lowest one) is 0 meV/atom. As for the crystal system: monoclinic. The calculation puts the formation energy without anion corrections at -0.5484 eV per atom.

It has space group Cm (No. 8), with a = 6.898 Å, b = 3.979 Å, c = 12.352 Å, α = 90.00°, β = 100.28° and γ = 90.00°. The inequivalent atoms are K at (0.000, 0.000, 0.000), K at (0.211, 0.000, 0.666), La at (0.260, 0.500, 0.300) and Br at (0.483, 0.000, 0.475).



no.,DFT total energy (eV per cell)
1,-55.35
2,-12.64
3,-23.35